# 1
# Ce6Ge5Br | Alexandria | PBE | optimized geometry
data_Ce6Ge5Br
_chemical_formula_sum 'Ce12 Ge10 Br2'
_space_group_name_H-M_alt 'C 1 2/m 1'
_space_group_IT_number 12
_cell_length_a 7.3596
_cell_length_b 12.7394
_cell_length_c 7.3483
_cell_angle_alpha 90.00
_cell_angle_beta 109.49
_cell_angle_gamma 90.00
loop_
_space_group_symop_operation_xyz
'x,y,z'
'-x,-y,-z'
'-x,y,-z'
'x,-y,z'
'x+1/2,y+1/2,z'
'-x+1/2,-y+1/2,-z'
'-x+1/2,y+1/2,-z'
'x+1/2,-y+1/2,z'
loop_
_atom_site_label
_atom_site_fract_x
_atom_site_fract_y
_atom_site_fract_z
Ce1 0.2438 0.0000 0.2521
Ce2 0.2442 0.1701 0.7435
Ge1 0.0000 0.0000 0.5000
Ge2 0.0000 0.1676 0.0000
Ge3 0.0000 0.3386 0.5000
Br1 0.0000 0.5000 0.0000
# E_form (uncorrected) ... -18.8 kcal/mol of atoms
# Total DFT energy (no corrections) ... -70.1 eV per formula unit

***

# 2
# Ce8GeIr3Br4 | Alexandria | PBE | optimized geometry
data_Ce8GeIr3Br4
_chemical_formula_sum 'Ce24 Ge3 Ir9 Br12'
_space_group_name_H-M_alt 'R -3 m'
_space_group_IT_number 166
_space_group_name_Hall '-R 3 2"'
_cell_length_a 8.3626
_cell_length_b 8.3626
_cell_length_c 22.2959
_cell_angle_alpha 90.00
_cell_angle_beta 90.00
_cell_angle_gamma 120.00
loop_
_atom_site_label
_atom_site_fract_x
_atom_site_fract_y
_atom_site_fract_z
Ce1 0.0000 0.0000 0.2341
Ce2 0.0126 0.5063 0.7654
Ge1 0.0000 0.0000 0.5000
Ir1 0.0000 0.5000 0.5000
Br1 0.0000 0.0000 0.0000
Br2 0.0000 0.5000 0.0000
# E_form (uncorrected) ... -23.3 kcal/mol of atoms
# Total DFT energy (no corrections) ... -101.5 eV per formula unit

***

# 3
# LaCeGeBr | Alexandria | PBE | optimized geometry
data_LaCeGeBr
_chemical_formula_sum 'La4 Ce4 Ge4 Br4'
_space_group_name_H-M_alt 'F -4 3 m'
_space_group_IT_number 216
_space_group_name_Hall 'F -4 2 3'
_cell_length_a 7.4607
_cell_length_b 7.4607
_cell_length_c 7.4607
_cell_angle_alpha 90.00
_cell_angle_beta 90.00
_cell_angle_gamma 90.00
loop_
_atom_site_label
_atom_site_fract_x
_atom_site_fract_y
_atom_site_fract_z
La1 0.0000 0.0000 0.0000
Ce1 0.0000 0.0000 0.5000
Ge1 0.2500 0.2500 0.2500
Br1 0.2500 0.2500 0.7500
# E_form (uncorrected) ... -21.4 kcal/mol of atoms
# Total DFT energy (no corrections) ... -20.9 eV per formula unit

***

> Which of these has the lowest total DFT energy (no corrections)?

Ce8GeIr3Br4

***

What did the third record say?
# LaCeGeBr | Alexandria | PBE | optimized geometry
data_LaCeGeBr
_chemical_formula_sum 'La4 Ce4 Ge4 Br4'
_space_group_name_H-M_alt 'F -4 3 m'
_space_group_IT_number 216
_space_group_name_Hall 'F -4 2 3'
_cell_length_a 7.4607
_cell_length_b 7.4607
_cell_length_c 7.4607
_cell_angle_alpha 90.00
_cell_angle_beta 90.00
_cell_angle_gamma 90.00
loop_
_atom_site_label
_atom_site_fract_x
_atom_site_fract_y
_atom_site_fract_z
La1 0.0000 0.0000 0.0000
Ce1 0.0000 0.0000 0.5000
Ge1 0.2500 0.2500 0.2500
Br1 0.2500 0.2500 0.7500
# E_form (uncorrected) ... -21.4 kcal/mol of atoms
# Total DFT energy (no corrections) ... -20.9 eV per formula unit

***

> Among the records above, which one has the lowest E_form (uncorrected)?

Ce8GeIr3Br4